# Tl2CdOs

A relaxed Tl2CdOs crystal (PBE, Alexandria via LeMat-Bulk).

Cell lengths 3.043, 3.043, 11.404 Å; angles 90.00, 90.00, 118.70 degrees
Element x y z (fractional)
Tl: 0.000 0.000 0.215
Tl: 0.000 0.000 0.785
Cd: 0.500 0.500 0.500
Os: 0.500 0.500 0.000

Values from the calculation:
* calculated total energy: -3.487 eV per atom
* magnetic moment: 0.420 μB per cell
* ΔH_f (0 K): 0.732 eV/atom